(i)
## NaIr3Pb (PBE-GGA)

Data for crystalline NaIr3Pb at its relaxed geometry.

The structure in CIF format:
```
data_NaIr3Pb
_cell_length_a 4.5889
_cell_length_b 4.5889
_cell_length_c 4.5889
_cell_angle_alpha 90.00
_cell_angle_beta 90.00
_cell_angle_gamma 90.00
_space_group_name_H-M_alt 'P m -3 m'
_space_group_IT_number 221
_space_group_name_Hall '-P 4 2 3'
loop_
_atom_site_label
_atom_site_fract_x
_atom_site_fract_y
_atom_site_fract_z
Na1 0.0000 0.0000 0.0000
Ir1 0.0000 0.0000 0.5000
Pb1 0.5000 0.5000 0.5000
```

***

(ii)
## NaIr3Pb (PBE-GGA)

Data for crystalline NaIr3Pb at its relaxed geometry.

The structure in CIF format:
```
data_NaIr3Pb
_cell_length_a 5.0715
_cell_length_b 5.0715
_cell_length_c 5.0715
_cell_angle_alpha 90.00
_cell_angle_beta 90.00
_cell_angle_gamma 90.00
_space_group_name_H-M_alt 'P m -3 m'
_space_group_IT_number 221
_space_group_name_Hall '-P 4 2 3'
loop_
_atom_site_label
_atom_site_fract_x
_atom_site_fract_y
_atom_site_fract_z
Na1 0.0000 0.0000 0.0000
Ir1 0.0000 0.5000 0.5000
Pb1 0.5000 0.5000 0.5000
```

***

Most favorable structure: (ii). The second most favorable one is 94 meV/atom above it.

***

(i)
## NaIrPb3 (PBE-GGA)

Data for crystalline NaIrPb3 at its relaxed geometry.

The structure in CIF format:
```
data_NaIrPb3
_cell_length_a 5.4105
_cell_length_b 5.4105
_cell_length_c 5.4105
_cell_angle_alpha 90.00
_cell_angle_beta 90.00
_cell_angle_gamma 90.00
_space_group_name_H-M_alt 'P m -3 m'
_space_group_IT_number 221
_space_group_name_Hall '-P 4 2 3'
loop_
_atom_site_label
_atom_site_fract_x
_atom_site_fract_y
_atom_site_fract_z
Na1 0.0000 0.0000 0.0000
Ir1 0.5000 0.5000 0.5000
Pb1 0.0000 0.5000 0.5000
```

***

(ii)
## NaIrPb3 (PBE-GGA)

Data for crystalline NaIrPb3 at its relaxed geometry.

The structure in CIF format:
```
data_NaIrPb3
_cell_length_a 5.2670
_cell_length_b 5.2670
_cell_length_c 5.2670
_cell_angle_alpha 90.00
_cell_angle_beta 90.00
_cell_angle_gamma 90.00
_space_group_name_H-M_alt 'P m -3 m'
_space_group_IT_number 221
_space_group_name_Hall '-P 4 2 3'
loop_
_atom_site_label
_atom_site_fract_x
_atom_site_fract_y
_atom_site_fract_z
Na1 0.0000 0.0000 0.0000
Ir1 0.5000 0.5000 0.5000
Pb1 0.0000 0.0000 0.5000
```

***

Most favorable structure: (i). The second most favorable one is 1033 meV/atom above it.

***

(i)
## NaIr3Pd (PBE-GGA)

Data for crystalline NaIr3Pd at its relaxed geometry.

The structure in CIF format:
```
data_NaIr3Pd
_cell_length_a 4.4607
_cell_length_b 4.4607
_cell_length_c 4.4607
_cell_angle_alpha 90.00
_cell_angle_beta 90.00
_cell_angle_gamma 90.00
_space_group_name_H-M_alt 'P m -3 m'
_space_group_IT_number 221
_space_group_name_Hall '-P 4 2 3'
loop_
_atom_site_label
_atom_site_fract_x
_atom_site_fract_y
_atom_site_fract_z
Na1 0.0000 0.0000 0.0000
Ir1 0.0000 0.0000 0.5000
Pd1 0.5000 0.5000 0.5000
```

***

(ii)
## NaIr3Pd (PBE-GGA)

Data for crystalline NaIr3Pd at its relaxed geometry.

The structure in CIF format:
```
data_NaIr3Pd
_cell_length_a 4.8346
_cell_length_b 4.8346
_cell_length_c 4.8346
_cell_angle_alpha 90.00
_cell_angle_beta 90.00
_cell_angle_gamma 90.00
_space_group_name_H-M_alt 'P m -3 m'
_space_group_IT_number 221
_space_group_name_Hall '-P 4 2 3'
loop_
_atom_site_label
_atom_site_fract_x
_atom_site_fract_y
_atom_site_fract_z
Na1 0.0000 0.0000 0.0000
Ir1 0.0000 0.5000 0.5000
Pd1 0.5000 0.5000 0.5000
```

***

Most favorable structure: (ii). The second most favorable one is 557 meV/atom above it.

***

(i)
## NaIr2Pt2 (PBE-GGA)

Data for crystalline NaIr2Pt2 at its relaxed geometry.

The structure in CIF format:
```
data_NaIr2Pt2
_cell_length_a 7.9203
_cell_length_b 7.9203
_cell_length_c 2.6991
_cell_angle_alpha 90.00
_cell_angle_beta 90.00
_cell_angle_gamma 90.00
_space_group_name_H-M_alt 'P 4/m b m'
_space_group_IT_number 127
_space_group_name_Hall '-P 4 2ab'
loop_
_atom_site_label
_atom_site_fract_x
_atom_site_fract_y
_atom_site_fract_z
Na1 0.0000 0.0000 0.0000
Ir1 0.1762 0.3238 0.5000
Pt1 0.1238 0.6238 0.0000
```

***

(ii)
## NaIr2Pt2 (PBE-GGA)

Data for crystalline NaIr2Pt2 at its relaxed geometry.

The structure in CIF format:
```
data_NaIr2Pt2
_cell_length_a 7.9005
_cell_length_b 7.9005
_cell_length_c 2.7152
_cell_angle_alpha 90.00
_cell_angle_beta 90.00
_cell_angle_gamma 90.00
_space_group_name_H-M_alt 'P 4/m b m'
_space_group_IT_number 127
_space_group_name_Hall '-P 4 2ab'
loop_
_atom_site_label
_atom_site_fract_x
_atom_site_fract_y
_atom_site_fract_z
Na1 0.0000 0.0000 0.0000
Ir1 0.1168 0.3832 0.0000
Pt1 0.1832 0.6832 0.5000
```

***

Most favorable structure: (ii). The second most favorable one is 90 meV/atom above it.

***

(i)
## NaPu2Ir (PBE-GGA)

Data for crystalline NaPu2Ir at its relaxed geometry.

The structure in CIF format:
```
data_NaPu2Ir
_cell_length_a 2.9539
_cell_length_b 2.9539
_cell_length_c 35.2354
_cell_angle_alpha 90.00
_cell_angle_beta 90.00
_cell_angle_gamma 120.00
_space_group_name_H-M_alt 'R -3 m'
_space_group_IT_number 166
_space_group_name_Hall '-R 3 2"'
loop_
_atom_site_label
_atom_site_fract_x
_atom_site_fract_y
_atom_site_fract_z
Na1 0.0000 0.0000 0.0000
Pu1 0.0000 0.0000 0.0968
Ir1 0.0000 0.0000 0.5000
```

***

(ii)
## NaPu2Ir (PBE-GGA)

Data for crystalline NaPu2Ir at its relaxed geometry.

The structure in CIF format:
```
data_NaPu2Ir
_cell_length_a 3.3532
_cell_length_b 3.3532
_cell_length_c 9.5075
_cell_angle_alpha 90.00
_cell_angle_beta 90.00
_cell_angle_gamma 90.00
_space_group_name_H-M_alt 'P 4/m m m'
_space_group_IT_number 123
_space_group_name_Hall '-P 4 2'
loop_
_atom_site_label
_atom_site_fract_x
_atom_site_fract_y
_atom_site_fract_z
Na1 0.0000 0.0000 0.0000
Pu1 0.5000 0.5000 0.3192
Ir1 0.0000 0.0000 0.5000
```

***

Most favorable structure: (ii). The second most favorable one is 384 meV/atom above it.

***

(i)
## RbNa3Ir (PBE-GGA)

Data for crystalline RbNa3Ir at its relaxed geometry.

The structure in CIF format:
```
data_RbNa3Ir
_cell_length_a 5.5242
_cell_length_b 5.5242
_cell_length_c 5.5242
_cell_angle_alpha 90.00
_cell_angle_beta 90.00
_cell_angle_gamma 90.00
_space_group_name_H-M_alt 'P m -3 m'
_space_group_IT_number 221
_space_group_name_Hall '-P 4 2 3'
loop_
_atom_site_label
_atom_site_fract_x
_atom_site_fract_y
_atom_site_fract_z
Rb1 0.0000 0.0000 0.0000
Na1 0.0000 0.0000 0.5000
Ir1 0.5000 0.5000 0.5000
```

***

(ii)
## RbNa3Ir (PBE-GGA)

Data for crystalline RbNa3Ir at its relaxed geometry.

The structure in CIF format:
```
data_RbNa3Ir
_cell_length_a 5.6282
_cell_length_b 5.6282
_cell_length_c 5.6282
_cell_angle_alpha 90.00
_cell_angle_beta 90.00
_cell_angle_gamma 90.00
_space_group_name_H-M_alt 'P m -3 m'
_space_group_IT_number 221
_space_group_name_Hall '-P 4 2 3'
loop_
_atom_site_label
_atom_site_fract_x
_atom_site_fract_y
_atom_site_fract_z
Rb1 0.0000 0.0000 0.0000
Na1 0.0000 0.5000 0.5000
Ir1 0.5000 0.5000 0.5000
```

***

Most favorable structure: (ii). The second most favorable one is 944 meV/atom above it.

***

(i)
## Na3ReIr (PBE-GGA)

Data for crystalline Na3ReIr at its relaxed geometry.

The structure in CIF format:
```
data_Na3ReIr
_cell_length_a 5.4841
_cell_length_b 5.4841
_cell_length_c 5.4841
_cell_angle_alpha 90.00
_cell_angle_beta 90.00
_cell_angle_gamma 90.00
_space_group_name_H-M_alt 'P m -3 m'
_space_group_IT_number 221
_space_group_name_Hall '-P 4 2 3'
loop_
_atom_site_label
_atom_site_fract_x
_atom_site_fract_y
_atom_site_fract_z
Na1 0.0000 0.0000 0.5000
Re1 0.0000 0.0000 0.0000
Ir1 0.5000 0.5000 0.5000
```

***

(ii)
## Na3ReIr (PBE-GGA)

Data for crystalline Na3ReIr at its relaxed geometry.

The structure in CIF format:
```
data_Na3ReIr
_cell_length_a 5.3688
_cell_length_b 5.3688
_cell_length_c 5.3688
_cell_angle_alpha 90.00
_cell_angle_beta 90.00
_cell_angle_gamma 90.00
_space_group_name_H-M_alt 'P m -3 m'
_space_group_IT_number 221
_space_group_name_Hall '-P 4 2 3'
loop_
_atom_site_label
_atom_site_fract_x
_atom_site_fract_y
_atom_site_fract_z
Na1 0.0000 0.0000 0.5000
Re1 0.5000 0.5000 0.5000
Ir1 0.0000 0.0000 0.0000
```

***

Most favorable structure: (ii). The second most favorable one is 401 meV/atom above it.

***

(i)
## NaReIr2 (PBE-GGA)

Data for crystalline NaReIr2 at its relaxed geometry.

The structure in CIF format:
```
data_NaReIr2
_cell_length_a 7.3195
_cell_length_b 7.3195
_cell_length_c 5.4683
_cell_angle_alpha 90.00
_cell_angle_beta 90.00
_cell_angle_gamma 90.00
_space_group_name_H-M_alt 'I -4 2 d'
_space_group_IT_number 122
_space_group_name_Hall 'I -4 2bw'
loop_
_atom_site_label
_atom_site_fract_x
_atom_site_fract_y
_atom_site_fract_z
Na1 0.0000 0.0000 0.0000
Re1 0.0000 0.0000 0.5000
Ir1 0.1978 0.2500 0.6250
```

***

(ii)
## NaReIr2 (PBE-GGA)

Data for crystalline NaReIr2 at its relaxed geometry.

The structure in CIF format:
```
data_NaReIr2
_cell_length_a 6.2356
_cell_length_b 6.2356
_cell_length_c 6.2356
_cell_angle_alpha 90.00
_cell_angle_beta 90.00
_cell_angle_gamma 90.00
_space_group_name_H-M_alt 'F m -3 m'
_space_group_IT_number 225
_space_group_name_Hall '-F 4 2 3'
loop_
_atom_site_label
_atom_site_fract_x
_atom_site_fract_y
_atom_site_fract_z
Na1 0.0000 0.0000 0.0000
Re1 0.0000 0.0000 0.5000
Ir1 0.2500 0.2500 0.2500
```

***

Most favorable structure: (ii). The second most favorable one is 221 meV/atom above it.